GGA-PBE NaCeC2O6, relaxed; size of the total moment = 1.00 μB per formula unit; uncorrected energy = -151.868 eV per cell; SG = No. 15
1.0
6.456 -0.577 0.046
-1.363 6.336 0.046
-1.441 -1.629 6.869
Na Ce C O
2 2 4 12
direct
0.099 0.901 0.250
0.901 0.099 0.750
0.585 0.415 0.250
0.415 0.585 0.750
0.411 0.126 0.753
0.874 0.589 0.747
0.589 0.874 0.247
0.126 0.411 0.253
0.960 0.483 0.232
0.517 0.040 0.268
0.040 0.517 0.768
0.483 0.960 0.732
0.140 0.246 0.133
0.754 0.860 0.367
0.860 0.754 0.867
0.246 0.140 0.633
0.297 0.517 0.402
0.483 0.703 0.098
0.703 0.483 0.598
0.517 0.297 0.902

GGA-PBE NaCePCO7, relaxed; size of the total moment = 0.00 μB per formula unit; uncorrected energy = -164.210 eV per cell; SG = No. 4
1.0
7.021 0.000 0.000
0.000 4.439 0.190
0.000 0.743 10.024
Na Ce P C O
2 2 2 2 14
direct
0.730 0.978 0.871
0.230 0.022 0.129
0.227 0.206 0.670
0.727 0.794 0.330
0.727 0.333 0.591
0.227 0.667 0.409
0.228 0.492 0.916
0.728 0.508 0.084
0.731 0.426 0.969
0.220 0.200 0.901
0.232 0.665 0.801
0.905 0.216 0.673
0.550 0.217 0.675
0.226 0.759 0.554
0.727 0.683 0.563
0.227 0.317 0.437
0.726 0.241 0.446
0.050 0.783 0.325
0.405 0.784 0.327
0.732 0.335 0.199
0.720 0.800 0.099
0.231 0.574 0.031

Per-record V, Å³/cell: 276.6 311.4
Per-record E_form (uncorrected), meV per atom: -2048 -2319